Entry 1:
Computed, not measured: a relaxed K2BiHAu crystal at the PBE-GGA level of DFT.

- total magnetic moment (μB per formula unit) = 0.00
- raw total energy (eV per atom) = -2.7286
- polymorph energy (0 for the lowest one) (meV per atom) = 0
- mass density (g/cm³) = 5.71

Unit cell a=6.2448 b=6.2448 c=3.6191 alpha=90.00 beta=90.00 gamma=90.00
Last column: nearest neighbours and their distance in Å.
Space group P4/mmm (No. 123)
Asymmetric unit:
K 0.0000 0.5000 0.0000 (multiplicity 2)  2 H 3.12
Bi 0.0000 0.0000 0.5000 (multiplicity 1)  8 K 3.61, 2 Bi 3.62
H 0.5000 0.5000 0.0000 (multiplicity 1)  2 Au 1.81
Au 0.5000 0.5000 0.5000 (multiplicity 1)  2 H 1.81

---

Entry 2:
Computed, not measured: a relaxed Nd8Ho3Er4 crystal at the PBE-GGA level of DFT.

- total magnetic moment (μB per formula unit) = 0.00
- formation enthalpy at 0 K (meV per atom) = 340
- raw total energy (eV per atom) = -4.3350
- mass density (g/cm³) = 7.57

Unit cell a=13.7740 b=12.1817 c=6.8754 alpha=90.00 beta=118.14 gamma=90.00
Last column: nearest neighbours and their distance in Å.
Space group C2/m (No. 12)
Asymmetric unit:
Nd 0.0000 0.2049 0.0000 (multiplicity 4)  2 Ho 3.49, 4 Nd 3.49-3.52, 3 Er 3.58-3.59
Nd 0.0000 0.2540 0.5000 (multiplicity 4)  1 Er 3.00, 1 Ho 3.09
Nd 0.2044 0.0000 0.1775 (multiplicity 4)  4 Nd 3.42-3.57, 2 Ho 3.45, 3 Er 3.60-3.64
Nd 0.2442 0.5000 0.2847 (multiplicity 4)  1 Er 2.99, 1 Ho 3.11
Ho 0.0000 0.0000 0.5000 (multiplicity 2)  4 Nd 3.09-3.11
Ho 0.2500 0.2500 0.0000 (multiplicity 4)  2 Er 3.44, 8 Nd 3.45-3.64
Er 0.0000 0.5000 0.0000 (multiplicity 2)  2 Nd 2.99
Er 0.0000 0.5000 0.5000 (multiplicity 2)  2 Nd 3.00
Er 0.2500 0.2500 0.5000 (multiplicity 4)  8 Nd 3.37-3.64, 2 Ho 3.44